Material: InSe3
Method: DFT, PBE
State: relaxed

a = 5.9453 Å, b = 5.9861 Å, c = 7.5875 Å
α = 90.19°, β = 90.48°, γ = 104.14°
Fractional coordinates of all 8 atoms:
In1 0.0000 0.0000 0.0000
In2 0.3677 0.6047 0.7522
Se1 0.0014 0.5746 0.9374
Se2 0.4423 0.2472 0.9524
Se3 0.4523 0.5358 0.4248
Se4 0.6542 0.0380 0.7610
Se5 0.8404 0.7673 0.4592
Se6 0.8765 0.1203 0.3079

Results
energy	-3.538	eV per atom
uncorrected formation energy	-0.240	eV per atom
space-group type	P1
mass density	4461	kg/m3